The following is a DFT calculation (PBE with a Hubbard U) of a relaxed structure of ErPaCrO6.

Results
Total DFT energy (no corrections) ... -8.552 eV/atom
Magnetic moment ... 2.00 μB/cell

a b c (Å): 5.3302 5.3302 4.7917
angles (deg): 90.00 90.00 120.00
With the nearest neighbours (Å) after each atom.
Fractional coordinates of all 9 atoms:
Er 0.0000 0.0000 0.0000  6 O 2.22
Pa 0.6667 0.3333 0.5000  6 O 2.21
Cr 0.3333 0.6667 0.0000  6 O 1.97
O 0.0220 0.3704 0.2336  1 Cr 1.97
O 0.0220 0.6515 0.7664  1 Cr 1.97
O 0.3485 0.3704 0.7664  1 Cr 1.97
O 0.3485 0.9780 0.2336  1 Cr 1.97
O 0.6296 0.6515 0.2336  1 Cr 1.97
O 0.6296 0.9780 0.7664  1 Cr 1.97